## SrY2BC (GGA-PBE)

Data for crystalline SrY2BC at its relaxed geometry.

a b c (Å): 4.786 4.786 5.203
angles (deg): 90.00 90.00 90.00
Positions (direct):
Sr  0.000  0.000  0.000
Y  0.000  0.500  0.500
Y  0.500  0.000  0.500
B  0.500  0.500  0.000
C  0.000  0.000  0.500

## Properties
N(E_F) = 0.419 states/eV/atom
total energy = -5.5968 eV/atom
DFT formation energy = 0.51 eV per atom